Compound: Ba2LiMgSb
Source: Alexandria
Functional: PBE
Structure: optimized geometry

Computed properties:
The uncorrected formation energy is -0.09 eV/atom. The theoretical density comes out at 3.8 g/cm³. As for the crystal system: tetragonal. The value obtained for the raw total energy is -11.95 eV per formula unit. As for the size of the total moment: 0.000 μB/atom.

Cell lengths 6.0457, 5.1296, 6.0457 Å; angles 90.00, 90.00, 90.00 degrees
Positions (direct):
Sb  0.5000  0.5000  0.5000
Mg  0.0000  0.5000  0.0000
Ba  0.0000  0.0000  0.5000
Ba  0.5000  0.0000  0.0000
Li  0.0000  0.0000  0.0000